1.
Crystalline LiEr2MnO5 at its relaxed geometry. Source: Alexandria via LeMat-Bulk, functional PBE+U.

As for the final energy: -7.39 eV/atom.

The structure in POSCAR format:
```
LiEr2MnO5
1.0
-4.0121 3.1353 2.4744
-1.8756 -5.0683 3.3809
4.0876 1.5763 4.6306
Li Er Mn O
2 4 2 10
Cartesian
1.1060 -1.7460 4.0058
0.0000 0.0000 0.0000
-2.5515 -1.5858 4.3485
-1.0199 1.1774 3.3308
-0.7802 -1.5340 7.1550
0.7515 1.2291 6.1373
2.0438 0.7881 2.3153
-0.9378 -2.5341 1.6905
-0.9000 -0.1783 5.2429
-2.0061 1.5677 1.2372
1.3704 1.0672 4.0452
-1.1255 -3.0219 5.1795
-1.0853 -0.8338 2.4723
1.3301 -1.1208 6.7524
-0.6745 2.6652 5.3064
-0.7148 0.4772 8.0136
-3.1704 -1.4238 6.4407
-3.1302 0.7642 3.7334
```



2.
Crystalline LiErMn2O4 at its relaxed geometry. Source: Alexandria via LeMat-Bulk, functional PBE+U.

As for the final energy: -7.41 eV/atom.

The structure in POSCAR format:
```
LiErMn2O4
1.0
-0.2044 3.1524 0.9200
-5.4019 -0.4464 0.3291
2.0576 -1.3012 4.9157
Li Er Mn O
1 1 2 4
Cartesian
0.0000 0.0000 0.0000
-2.8032 1.3530 0.6246
0.9266 0.9256 2.9179
-1.6722 -0.8738 2.6224
-0.9504 1.1144 1.8539
-2.5983 0.2904 4.3109
0.2027 -1.1054 3.8325
-3.5470 -0.6422 1.4122
```